Compound: TbNd2DyTm4
Source: the Alexandria database
Functional: PBE
Structure: optimized geometry

Calculated values
The space-group type is Imma (74). The total energy is -4.151 eV per atom. The calculation puts the density of states at the Fermi level at 17.94 states/eV/f.u.

abc: 9.474 9.474 9.474
angles: 138.05 103.30 91.50
Atoms (fractional coordinates):
Tb 0.000 0.000 0.000
Tb 0.500 0.000 0.500
Nd 0.000 0.500 0.500
Nd 0.500 0.000 0.000
Nd 0.500 0.500 0.000
Nd 0.500 0.500 0.500
Dy 0.000 0.000 0.500
Dy 0.000 0.500 0.000
Tm 0.246 0.249 0.997
Tm 0.247 0.246 0.499
Tm 0.247 0.748 0.001
Tm 0.248 0.751 0.497
Tm 0.752 0.249 0.503
Tm 0.753 0.252 0.999
Tm 0.753 0.754 0.501
Tm 0.754 0.751 0.003